# CdTe

A relaxed CdTe crystal (PBE, the Alexandria database).

Cell and atoms, written as POSCAR:
```
CdTe
1.0
3.9161 0.0000 0.0000
0.0000 4.6921 0.0000
0.0000 0.0000 6.5588
Cd Te
2 2
Cartesian
0.0000 0.0000 0.0000 Cd
1.9581 2.3461 0.0000 Cd
0.0000 2.3461 3.2794 Te
1.9581 0.0000 3.2794 Te
```

Calculated values
For the raw total energy, the calculation gives -1.9239 eV per atom. Its symmetry is No. 65. Its energy relative to the elements, uncorrected is 20 kJ/mol of formula units.